{"formula": "ScZn2NO", "functional": "GGA-PBE", "state": "relaxed", "lattice": [[-2.3253, 4.9850, -0.0662], [-1.8526, -0.9072, -3.2384], [-4.2201, -1.9292, 2.9546]], "species": ["Zn", "O", "N", "Zn", "Sc"], "frac_coords": [[0.5000, 0.0000, 0.0000], [0.5000, 0.5000, 0.5000], [0.0000, 0.5000, 0.0000], [0.0000, 0.0000, 0.5000], [0.0000, 0.0000, 0.0000]], "dft_energy_ev_per_fu": -17.56, "sg": "No. 123"}